[1]
Entry from the Alexandria database: a relaxed structure of Dy4TlCdAg2 (PBE-GGA).

a b c (Å): 5.2348 5.2348 9.1110
angles (deg): 73.30 73.30 60.00
Last column: nearest neighbours and their distance in Å.
Fractional coordinates of all 8 atoms:
Ag1 0.7534 0.7534 0.7399  8 Dy 3.12-3.33
Dy1 0.1256 0.1256 0.6231  4 Ag 3.12-3.18, 3 Cd 3.20, 1 Tl 3.24
Dy2 0.8744 0.8744 0.3769  4 Ag 3.12-3.18, 3 Cd 3.20, 1 Tl 3.24
Ag2 0.2466 0.2466 0.2601  8 Dy 3.12-3.33
Tl1 0.0000 0.0000 0.0000  8 Dy 3.22-3.24
Dy3 0.3760 0.3760 0.8721  1 Cd 3.20, 3 Tl 3.22, 4 Ag 3.23-3.33
Cd1 0.5000 0.5000 0.5000  8 Dy 3.20
Dy4 0.6240 0.6240 0.1279  1 Cd 3.20, 3 Tl 3.22, 4 Ag 3.23-3.33

Calculated values
Total moment ... 0.0 μB/f.u.
Formation enthalpy at 0 K ... -0.320 eV per atom

[2]
Entry from the Alexandria database: a relaxed structure of DyYCdAg (PBE-GGA).

a b c (Å): 5.2246 5.2246 5.2246
angles (deg): 60.00 60.00 60.00
Last column: nearest neighbours and their distance in Å.
Fractional coordinates of all 4 atoms:
Cd1 0.0000 0.0000 0.0000  4 Dy 3.20, 4 Y 3.20
Dy1 0.2500 0.2500 0.2500  4 Cd 3.20, 4 Ag 3.20
Y1 0.7500 0.7500 0.7500  4 Cd 3.20, 4 Ag 3.20
Ag1 0.5000 0.5000 0.5000  4 Y 3.20, 4 Dy 3.20

Calculated values
Energy above the most stable polymorph in this dataset ... 11.1 meV per atom
Total moment ... 0.0 μB/f.u.
Formation enthalpy at 0 K ... -0.316 eV per atom

[3]
Entry from the Alexandria database: a relaxed structure of DyYCdAg (PBE-GGA).

a b c (Å): 3.6903 3.6903 7.3946
angles (deg): 90.00 90.00 90.00
Last column: nearest neighbours and their distance in Å.
Fractional coordinates of all 4 atoms:
Cd1 0.0000 0.0000 0.8588  4 Dy 3.23, 4 Y 3.24
Ag1 0.0000 0.0000 0.3541  4 Dy 3.15, 4 Y 3.18
Y1 0.5000 0.5000 0.5995  4 Ag 3.18, 4 Cd 3.24
Dy1 0.5000 0.5000 0.1156  4 Ag 3.15, 4 Cd 3.23

Calculated values
Energy above the most stable polymorph in this dataset ... 0.0 meV per atom
Total moment ... 0.0 μB/f.u.
Formation enthalpy at 0 K ... -0.327 eV per atom

[4]
Entry from the Alexandria database: a relaxed structure of DyZnCdAg (PBE-GGA).

a b c (Å): 4.8775 4.8775 4.8775
angles (deg): 60.00 60.00 60.00
Last column: nearest neighbours and their distance in Å.
Fractional coordinates of all 4 atoms:
Zn1 0.5000 0.5000 0.5000  4 Cd 2.99, 4 Dy 2.99
Cd1 0.7500 0.7500 0.7500  4 Zn 2.99, 4 Ag 2.99
Ag1 0.0000 0.0000 0.0000  4 Cd 2.99, 4 Dy 2.99
Dy1 0.2500 0.2500 0.2500  4 Zn 2.99, 4 Ag 2.99

Calculated values
Total moment ... 0.0 μB/f.u.
Formation enthalpy at 0 K ... -0.302 eV per atom

[5]
Entry from the Alexandria database: a relaxed structure of ErCd5Ag6 (PBE-GGA).

a b c (Å): 4.7292 8.1643 8.1643
angles (deg): 115.04 106.86 106.86
Last column: nearest neighbours and their distance in Å.
Fractional coordinates of all 12 atoms:
Cd1 0.5000 0.1605 0.8395  8 Ag 2.94-3.06, 2 Er 3.24
Er1 0.0000 0.0000 0.0000  8 Ag 3.02-3.07, 4 Cd 3.24
Ag1 0.2363 0.7358 0.7358  6 Cd 2.94-2.95, 2 Er 3.06-3.07
Cd2 0.5000 0.5000 0.5000  8 Ag 2.92-2.94
Cd3 0.0000 0.3279 0.6721  8 Ag 2.91-2.96
Ag2 0.7637 0.2642 0.2642  6 Cd 2.94-2.95, 2 Er 3.06-3.07
Ag3 0.2630 0.0915 0.4297  7 Cd 2.91-3.06, 1 Er 3.02, 1 Ag 3.24
Ag4 0.7370 0.5703 0.9085  7 Cd 2.91-3.06, 1 Er 3.02, 1 Ag 3.24
Ag5 0.7370 0.9085 0.5703  7 Cd 2.91-3.06, 1 Er 3.02, 1 Ag 3.24
Cd4 0.0000 0.6721 0.3279  8 Ag 2.91-2.96
Ag6 0.2630 0.4297 0.0915  7 Cd 2.91-3.06, 1 Er 3.02, 1 Ag 3.24
Cd5 0.5000 0.8395 0.1605  8 Ag 2.94-3.06, 2 Er 3.24

Calculated values
Energy above the most stable polymorph in this dataset ... 8.2 meV per atom
Total moment ... 0.0 μB/f.u.
Formation enthalpy at 0 K ... -0.093 eV per atom

[6]
Entry from the Alexandria database: a relaxed structure of Er3Cd3Ag (PBE-GGA).

a b c (Å): 4.9020 3.4234 10.6922
angles (deg): 99.21 103.25 90.00
Last column: nearest neighbours and their distance in Å.
Fractional coordinates of all 7 atoms:
Ag1 0.4317 0.4317 0.8634  3 Cd 2.78-2.89
Er1 0.3032 0.8032 0.6063  2 Ag 3.15, 5 Cd 3.19-3.26, 2 Er 3.42
Cd1 0.1444 0.6444 0.2888  2 Cd 2.92, 5 Er 3.21-3.26
Er2 0.9947 0.9947 0.9894  4 Ag 3.26, 8 Cd 3.30-3.52, 2 Er 3.42
Cd2 0.8572 0.3572 0.7145  2 Ag 2.89, 5 Er 3.19
Er3 0.7019 0.2019 0.4037  7 Cd 3.19-3.26, 2 Er 3.42
Cd3 0.5670 0.5670 0.1339  1 Ag 2.78, 2 Cd 2.92

Calculated values
Total moment ... 0.0 μB/f.u.
Formation enthalpy at 0 K ... -0.256 eV per atom

[7]
Entry from the Alexandria database: a relaxed structure of ErCd4Ag5 (PBE-GGA).

a b c (Å): 3.4712 3.4712 16.7804
angles (deg): 90.00 90.00 90.00
Last column: nearest neighbours and their distance in Å.
Fractional coordinates of all 10 atoms:
Ag1 0.5000 0.5000 0.6931  8 Cd 2.94-2.97, 1 Ag 3.24
Ag2 0.5000 0.5000 0.3069  8 Cd 2.94-2.97, 1 Ag 3.24
Cd1 0.0000 0.0000 0.5970  8 Ag 2.94-2.95, 2 Cd 3.26-3.28
Er1 0.0000 0.0000 0.0000  8 Ag 3.08
Cd2 0.0000 0.0000 0.2074  8 Ag 2.94-2.97, 1 Cd 3.28
Ag3 0.5000 0.5000 0.5000  8 Cd 2.95, 2 Ag 3.24
Ag4 0.5000 0.5000 0.1106  4 Cd 2.94, 4 Er 3.08, 1 Ag 3.29
Cd3 0.0000 0.0000 0.7926  8 Ag 2.94-2.97, 1 Cd 3.28
Cd4 0.0000 0.0000 0.4030  8 Ag 2.94-2.95, 2 Cd 3.26-3.28
Ag5 0.5000 0.5000 0.8894  4 Cd 2.94, 4 Er 3.08, 1 Ag 3.29

Calculated values
Total moment ... 0.0 μB/f.u.
Formation enthalpy at 0 K ... -0.107 eV per atom

[8]
Entry from the Alexandria database: a relaxed structure of ErCd3Ag4 (PBE-GGA).

a b c (Å): 4.8129 7.0510 9.6240
angles (deg): 90.00 90.00 90.00
Last column: nearest neighbours and their distance in Å.
Fractional coordinates of all 16 atoms:
Cd1 0.4942 0.5000 0.2500  8 Ag 3.02-3.03
Ag1 0.5000 0.7602 0.0000  6 Cd 2.94-3.03, 2 Er 3.03
Cd2 0.5058 0.5000 0.7500  8 Ag 3.02-3.03
Ag2 0.9921 0.7601 0.2500  6 Cd 2.94-3.03, 2 Er 3.03
Cd3 0.5077 0.0000 0.7500  8 Ag 2.94
Ag3 0.0079 0.2399 0.7500  6 Cd 2.94-3.03, 2 Er 3.03
Er1 0.0000 0.5000 0.0000  8 Ag 3.03, 2 Cd 3.38
Ag4 0.5000 0.2398 0.5000  6 Cd 2.94-3.03, 2 Er 3.03
Er2 0.0000 0.5000 0.5000  8 Ag 3.03, 2 Cd 3.38
Cd4 0.0000 0.0000 0.5000  8 Ag 2.94
Ag5 0.5000 0.2398 0.0000  6 Cd 2.94-3.03, 2 Er 3.03
Cd5 0.0000 0.0000 0.0000  8 Ag 2.94
Ag6 0.5000 0.7602 0.5000  6 Cd 2.94-3.03, 2 Er 3.03
Cd6 0.4923 0.0000 0.2500  8 Ag 2.94
Ag7 0.9921 0.2399 0.2500  6 Cd 2.94-3.03, 2 Er 3.03
Ag8 0.0079 0.7601 0.7500  6 Cd 2.94-3.03, 2 Er 3.03

Calculated values
Energy above the most stable polymorph in this dataset ... 4.4 meV per atom
Total moment ... 0.0 μB/f.u.
Formation enthalpy at 0 K ... -0.130 eV per atom

[9]
Entry from the Alexandria database: a relaxed structure of ErCd4Ag (PBE-GGA).

a b c (Å): 3.8803 7.7715 9.3188
angles (deg): 90.00 102.02 90.00
Last column: nearest neighbours and their distance in Å.
Fractional coordinates of all 12 atoms:
Cd1 0.7537 0.1972 0.5073  3 Cd 2.85-2.92, 3 Ag 2.85-2.92
Cd2 0.9298 0.2064 0.8596  2 Ag 2.98, 7 Cd 2.99-3.21, 1 Er 3.29
Er1 0.1101 0.1855 0.2202  2 Ag 3.10, 9 Cd 3.24-3.47
Cd3 0.0702 0.7064 0.1404  2 Ag 2.98, 7 Cd 2.99-3.21, 1 Er 3.29
Cd4 0.3369 0.9954 0.6739  6 Cd 2.85-3.05, 1 Ag 3.14
Cd5 0.6631 0.4954 0.3261  6 Cd 2.85-3.05, 1 Ag 3.14
Er2 0.8899 0.6855 0.7798  2 Ag 3.10, 9 Cd 3.24-3.47
Cd6 0.5004 0.9496 0.0008  1 Ag 2.99, 5 Cd 2.99-3.07, 2 Er 3.34
Ag1 0.6628 0.8993 0.3256  7 Cd 2.85-3.14, 2 Er 3.10
Cd7 0.2463 0.6972 0.4927  3 Cd 2.85-2.92, 3 Ag 2.85-2.92
Cd8 0.4996 0.4496 0.9992  1 Ag 2.99, 5 Cd 2.99-3.07, 2 Er 3.34
Ag2 0.3372 0.3993 0.6744  7 Cd 2.85-3.14, 2 Er 3.10

Calculated values
Energy above the most stable polymorph in this dataset ... 27.4 meV per atom
Total moment ... 0.0 μB/f.u.
Formation enthalpy at 0 K ... -0.136 eV per atom

[10]
Entry from the Alexandria database: a relaxed structure of ErCd3Ag4 (PBE-GGA).

a b c (Å): 4.9422 4.9555 7.5201
angles (deg): 70.65 109.18 90.00
Last column: nearest neighbours and their distance in Å.
Fractional coordinates of all 8 atoms:
Ag1 0.3714 0.6290 0.7429  4 Ag 2.95-2.96, 3 Cd 3.01-3.06, 2 Er 3.01
Ag2 0.2513 0.2494 0.5026  4 Cd 2.85-2.88, 4 Ag 2.95-2.96
Cd1 0.8585 0.1405 0.7170  5 Ag 2.85-3.06, 2 Cd 3.10-3.12, 2 Er 3.11
Cd2 0.1415 0.8595 0.2830  5 Ag 2.85-3.06, 2 Cd 3.10-3.12, 2 Er 3.11
Er1 0.5000 0.0000 0.0000  6 Ag 3.01-3.31, 4 Cd 3.11
Cd3 0.0000 0.5000 0.0000  6 Ag 3.01-3.34, 4 Cd 3.10-3.12
Ag3 0.6286 0.3710 0.2571  4 Ag 2.95-2.96, 3 Cd 3.01-3.06, 2 Er 3.01
Ag4 0.7487 0.7506 0.4974  4 Cd 2.85-2.88, 4 Ag 2.95-2.96

Calculated values
Energy above the most stable polymorph in this dataset ... 0.0 meV per atom
Total moment ... 0.0 μB/f.u.
Formation enthalpy at 0 K ... -0.134 eV per atom

[11]
Entry from the Alexandria database: a relaxed structure of Er2Cd3Ag3 (PBE-GGA).

a b c (Å): 4.9567 4.9567 8.5428
angles (deg): 73.14 73.14 60.00
Last column: nearest neighbours and their distance in Å.
Fractional coordinates of all 8 atoms:
Er1 0.4972 0.4972 0.5085  7 Ag 3.00-3.06, 1 Cd 3.08
Cd1 0.2489 0.2489 0.2534  5 Ag 2.95-3.02, 3 Cd 3.04
Er2 0.0029 0.0029 0.9914  5 Ag 2.99-3.07, 3 Cd 3.06
Cd2 0.7512 0.7512 0.7464  7 Ag 3.00-3.06, 1 Cd 3.05
Ag1 0.1265 0.1265 0.6204  4 Cd 2.95-3.04, 4 Er 2.99-3.00
Ag2 0.8755 0.8755 0.3734  4 Cd 3.00-3.02, 4 Er 3.06-3.07
Ag3 0.3731 0.3731 0.8808  4 Er 3.00, 4 Cd 3.00-3.06
Cd3 0.6248 0.6248 0.1257  4 Cd 3.04-3.05, 4 Er 3.06-3.08

Calculated values
Total moment ... 0.0 μB/f.u.
Formation enthalpy at 0 K ... -0.269 eV per atom

[12]
Entry from the Alexandria database: a relaxed structure of ErCdAg3 (PBE-GGA).

a b c (Å): 5.1632 5.0565 8.1987
angles (deg): 90.02 70.83 90.06
Last column: nearest neighbours and their distance in Å.
Fractional coordinates of all 10 atoms:
Ag1 0.8917 0.3440 0.8052  4 Cd 2.96-3.18, 4 Er 2.99-3.04, 4 Ag 3.15-3.17
Ag2 0.5194 0.8448 0.8093  4 Cd 2.96-3.18, 4 Er 2.99-3.04, 4 Ag 3.15-3.17
Ag3 0.6931 0.3442 0.2130  2 Cd 2.93-3.04, 7 Ag 2.94-3.18, 3 Er 3.06-3.07
Er1 0.9188 0.8442 0.0056  9 Ag 2.99-3.10, 3 Cd 3.18-3.25
Cd1 0.3059 0.3448 0.0192  9 Ag 2.93-3.18, 3 Er 3.18-3.25
Cd2 0.1053 0.8441 0.5954  9 Ag 2.93-3.18, 3 Er 3.18-3.25
Er2 0.4923 0.3447 0.6090  9 Ag 2.99-3.10, 3 Cd 3.18-3.25
Ag4 0.3183 0.8446 0.2164  3 Cd 2.94-3.01, 7 Ag 2.94-3.18, 2 Er 3.01-3.10
Ag5 0.7180 0.8445 0.4015  2 Cd 2.93-3.04, 7 Ag 2.94-3.18, 3 Er 3.06-3.07
Ag6 0.0928 0.3442 0.3982  3 Cd 2.94-3.01, 7 Ag 2.94-3.18, 2 Er 3.01-3.10

Calculated values
Energy above the most stable polymorph in this dataset ... 0.0 meV per atom
Total moment ... 0.0 μB/f.u.
Formation enthalpy at 0 K ... -0.214 eV per atom

- total moment of number 4 (DyZnCdAg)?
  0.0 μB/f.u.

- Number 2 is which compound?
  DyYCdAg

What did the first record say?
Entry from the Alexandria database: a relaxed structure of Dy4TlCdAg2 (PBE-GGA).

a b c (Å): 5.2348 5.2348 9.1110
angles (deg): 73.30 73.30 60.00
Last column: nearest neighbours and their distance in Å.
Fractional coordinates of all 8 atoms:
Ag1 0.7534 0.7534 0.7399  8 Dy 3.12-3.33
Dy1 0.1256 0.1256 0.6231  4 Ag 3.12-3.18, 3 Cd 3.20, 1 Tl 3.24
Dy2 0.8744 0.8744 0.3769  4 Ag 3.12-3.18, 3 Cd 3.20, 1 Tl 3.24
Ag2 0.2466 0.2466 0.2601  8 Dy 3.12-3.33
Tl1 0.0000 0.0000 0.0000  8 Dy 3.22-3.24
Dy3 0.3760 0.3760 0.8721  1 Cd 3.20, 3 Tl 3.22, 4 Ag 3.23-3.33
Cd1 0.5000 0.5000 0.5000  8 Dy 3.20
Dy4 0.6240 0.6240 0.1279  1 Cd 3.20, 3 Tl 3.22, 4 Ag 3.23-3.33

Calculated values
Total moment ... 0.0 μB/f.u.
Formation enthalpy at 0 K ... -0.320 eV per atom